[1]
First-principles (PBEsol) data for a relaxed SrBN2F crystal, as listed in Alexandria via LeMat-Bulk.

Calculated values
uncorrected formation energy	1.55	eV/atom
spin magnetization	4.000	Bohr magnetons per cell
electronic total energy	-4.02	eV/atom

extended XYZ file:
```
5
Lattice="4.975 0.000 0.000 0.000 4.975 0.000 0.000 0.000 4.483" Properties=species:S:1:pos:R:3 pbc="T T T"
Sr 0.000 0.000 0.000
B 2.488 2.488 2.241
N 0.000 2.488 0.000
N 2.488 0.000 0.000
F 0.000 0.000 2.241
```


[2]
First-principles (PBEsol) data for a relaxed Ge2PdBr2 crystal, as listed in Alexandria via LeMat-Bulk.

Calculated values
uncorrected formation energy	0.52	eV/atom
spin magnetization	0.000	Bohr magnetons per cell
electronic total energy	-3.40	eV/atom

extended XYZ file:
```
5
Lattice="-2.210 2.210 5.946 2.210 -2.210 5.946 2.210 2.210 -5.946" Properties=species:S:1:pos:R:3 pbc="T T T"
Ge 0.000 0.000 1.297
Ge 0.000 0.000 10.595
Pd 0.000 0.000 5.946
Br 2.210 0.000 2.973
Br 0.000 2.210 2.973
```


[3]
First-principles (PBEsol) data for a relaxed SmB12 crystal, as listed in Alexandria via LeMat-Bulk.

Calculated values
DFT formation energy	-0.26	eV/atom
spin magnetization	0.000	Bohr magnetons per cell
electronic total energy	-7.13	eV/atom

extended XYZ file:
```
13
Lattice="0.000 3.753 3.753 3.753 0.000 3.753 3.753 3.753 0.000" Properties=species:S:1:pos:R:3 pbc="T T T"
Sm 0.000 0.000 0.000
B 3.753 2.488 2.488
B 5.017 3.753 2.488
B 5.017 2.488 3.753
B 2.488 3.753 2.488
B 3.753 5.017 2.488
B 2.488 2.488 3.753
B 5.017 5.017 3.753
B 3.753 2.488 5.017
B 5.017 3.753 5.017
B 2.488 5.017 3.753
B 2.488 3.753 5.017
B 3.753 5.017 5.017
```


[4]
First-principles (PBEsol) data for a relaxed KNbSi2O7 crystal, as listed in Alexandria via LeMat-Bulk.

Calculated values
uncorrected formation energy	-2.68	eV/atom
spin magnetization	0.000	Bohr magnetons per cell
electronic total energy	-8.15	eV/atom

extended XYZ file:
```
44
Lattice="8.829 0.000 0.000 0.000 8.829 0.000 0.000 0.000 8.123" Properties=species:S:1:pos:R:3 pbc="T T T"
K 1.586 2.829 0.000
K 2.829 7.244 0.000
K 6.000 1.586 0.000
K 7.244 6.000 0.000
Nb 0.000 0.000 1.850
Nb 0.000 0.000 5.936
Nb 4.415 4.415 1.850
Nb 4.415 4.415 5.936
Si 1.086 5.501 2.506
Si 1.089 5.503 5.717
Si 3.328 1.086 2.506
Si 3.326 1.089 5.717
Si 5.501 7.743 2.506
Si 5.503 7.740 5.717
Si 7.743 3.328 2.506
Si 7.740 3.326 5.717
O 0.000 0.000 0.032
O 0.000 0.000 4.122
O 0.000 4.415 1.899
O 0.000 4.415 6.322
O 0.672 6.962 6.276
O 0.677 6.956 1.942
O 1.034 5.448 4.111
O 1.867 0.672 6.276
O 1.873 0.677 1.942
O 2.542 5.092 1.942
O 2.548 5.087 6.276
O 3.381 1.034 4.111
O 3.737 2.542 1.942
O 3.742 2.548 6.276
O 4.415 0.000 1.899
O 4.415 0.000 6.322
O 4.415 4.415 0.032
O 4.415 4.415 4.122
O 5.087 6.281 6.276
O 5.092 6.287 1.942
O 5.448 7.795 4.111
O 6.281 3.742 6.276
O 6.287 3.737 1.942
O 6.956 8.152 1.942
O 6.962 8.157 6.276
O 7.795 3.381 4.111
O 8.152 1.873 1.942
O 8.157 1.867 6.276
```


[5]
First-principles (PBEsol) data for a relaxed Li2CoSiO4 crystal, as listed in Alexandria via LeMat-Bulk.

Calculated values
uncorrected formation energy	-2.00	eV/atom
spin magnetization	24.000	Bohr magnetons per cell
electronic total energy	-6.81	eV/atom

extended XYZ file:
```
64
Lattice="10.274 0.000 0.000 0.000 5.194 0.000 0.000 0.000 12.908" Properties=species:S:1:pos:R:3 pbc="T T T"
Li 0.369 0.237 0.000
Li 0.460 2.872 4.843
Li 2.228 1.993 3.063
Li 2.248 4.562 1.729
Li 2.889 4.562 8.182
Li 2.909 1.993 9.517
Li 4.677 2.872 11.297
Li 4.768 0.237 6.454
Li 5.506 4.957 0.000
Li 5.597 2.321 4.843
Li 7.365 3.201 3.063
Li 7.385 0.631 1.729
Li 8.026 0.631 8.182
Li 8.046 3.201 9.517
Li 9.814 2.321 11.297
Li 9.905 4.957 6.454
Co 0.369 4.945 9.670
Co 2.134 2.792 12.855
Co 3.003 2.792 6.401
Co 4.768 4.945 3.216
Co 5.506 0.249 9.670
Co 7.271 2.402 12.855
Co 8.140 2.402 6.401
Co 9.905 0.249 3.216
Si 0.342 2.394 8.057
Si 2.150 0.217 4.887
Si 2.987 0.217 11.340
Si 4.795 2.394 1.603
Si 5.479 2.799 8.057
Si 7.287 4.977 4.887
Si 8.124 4.977 11.340
Si 9.932 2.799 1.603
O 0.107 4.389 1.649
O 0.263 2.086 2.964
O 0.327 2.178 0.231
O 0.618 4.832 4.794
O 1.963 2.692 8.053
O 2.114 1.863 5.015
O 2.185 4.753 12.605
O 2.281 5.190 9.863
O 2.856 5.190 3.409
O 2.952 4.753 6.151
O 3.023 1.863 11.469
O 3.174 2.692 1.599
O 4.519 4.832 11.248
O 4.810 2.178 6.685
O 4.874 2.086 9.418
O 5.030 4.389 8.103
O 5.244 0.805 1.649
O 5.400 3.108 2.964
O 5.464 3.015 0.231
O 5.755 0.362 4.794
O 7.100 2.502 8.053
O 7.251 3.331 5.015
O 7.322 0.440 12.605
O 7.418 0.004 9.863
O 7.993 0.004 3.409
O 8.089 0.440 6.151
O 8.160 3.331 11.469
O 8.311 2.502 1.599
O 9.656 0.362 11.248
O 9.947 3.015 6.685
O 10.011 3.108 9.418
O 10.167 0.805 8.103
```


[6]
First-principles (PBEsol) data for a relaxed KAgBr2 crystal, as listed in Alexandria via LeMat-Bulk.

Calculated values
uncorrected formation energy	-0.81	eV/atom
spin magnetization	0.000	Bohr magnetons per cell
electronic total energy	-2.86	eV/atom

extended XYZ file:
```
4
Lattice="0.000 3.676 3.676 3.676 0.000 3.676 3.676 3.676 0.000" Properties=species:S:1:pos:R:3 pbc="T T T"
K 0.000 0.000 0.000
Ag 3.676 3.676 3.676
Br 1.838 1.838 1.838
Br 5.514 5.514 5.514
```


[7]
First-principles (PBEsol) data for a relaxed CaSiP2 crystal, as listed in Alexandria via LeMat-Bulk.

Calculated values
uncorrected formation energy	-0.66	eV/atom
spin magnetization	0.000	Bohr magnetons per cell
electronic total energy	-5.52	eV/atom

extended XYZ file:
```
64
Lattice="5.930 0.000 0.000 0.000 11.869 0.000 0.000 0.000 19.373" Properties=species:S:1:pos:R:3 pbc="T T T"
Ca 1.224 2.954 3.629
Ca 1.224 2.981 13.315
Ca 1.477 0.004 10.910
Ca 1.477 5.930 1.224
Ca 1.488 11.865 1.224
Ca 1.488 5.939 10.910
Ca 1.740 8.888 3.629
Ca 1.740 8.915 13.315
Ca 4.189 2.954 6.057
Ca 4.189 2.981 15.744
Ca 4.442 0.004 18.149
Ca 4.442 5.930 8.462
Ca 4.453 11.865 8.462
Ca 4.453 5.939 18.149
Ca 4.705 8.888 6.057
Ca 4.705 8.915 15.744
Si 1.035 2.628 8.473
Si 1.035 3.306 18.159
Si 1.177 6.272 15.739
Si 1.177 11.531 6.053
Si 1.787 0.338 15.739
Si 1.787 5.597 6.053
Si 1.929 8.563 8.473
Si 1.929 9.241 18.159
Si 4.000 2.628 1.214
Si 4.000 3.306 10.900
Si 4.142 6.272 13.320
Si 4.142 11.531 3.633
Si 4.752 0.338 13.320
Si 4.752 5.597 3.633
Si 4.894 8.563 1.214
Si 4.894 9.241 10.900
P 0.986 6.073 4.007
P 0.986 11.730 13.694
P 1.174 8.832 0.860
P 1.174 8.972 10.546
P 1.330 2.507 16.076
P 1.330 3.427 6.390
P 1.390 6.401 8.113
P 1.390 11.403 17.800
P 1.575 0.467 8.113
P 1.575 5.468 17.800
P 1.635 8.442 16.076
P 1.635 9.362 6.390
P 1.790 2.898 0.860
P 1.790 3.037 10.546
P 1.978 0.139 4.007
P 1.978 5.796 13.694
P 3.951 6.073 5.679
P 3.951 11.730 15.365
P 4.139 8.832 8.826
P 4.139 8.972 18.513
P 4.295 2.507 12.983
P 4.295 3.427 3.296
P 4.355 6.401 1.573
P 4.355 11.403 11.259
P 4.540 0.467 1.573
P 4.540 5.468 11.259
P 4.600 8.442 12.983
P 4.600 9.362 3.296
P 4.755 2.898 8.826
P 4.755 3.037 18.513
P 4.943 0.139 5.679
P 4.943 5.796 15.365
```


[8]
First-principles (PBEsol) data for a relaxed BePt2 crystal, as listed in Alexandria via LeMat-Bulk.

Calculated values
DFT formation energy	-0.42	eV/atom
spin magnetization	0.000	Bohr magnetons per cell
electronic total energy	-6.39	eV/atom

extended XYZ file:
```
6
Lattice="1.364 -6.371 0.000 1.364 6.371 0.000 0.000 0.000 4.465" Properties=species:S:1:pos:R:3 pbc="T T T"
Be 1.364 3.607 3.349
Be 1.364 -3.607 1.116
Pt 1.364 4.656 1.116
Pt 1.364 0.841 1.116
Pt 1.364 -0.841 3.349
Pt 1.364 -4.656 3.349
```